No. 1
The following is a GGA-PBE calculation of a relaxed structure of Li2CuMo, from Alexandria via LeMat-Bulk.

Cell and atoms, written as POSCAR:
```
Li2CuMo
1.0
4.4640 -1.2595 0.0000
4.4640 1.2595 0.0000
-0.5383 0.0000 5.1332
Li Cu Mo
2 1 1
direct
0.0000 0.0000 0.0000
0.2423 0.2423 0.7946
0.7373 0.7373 0.2915
0.4834 0.4834 0.4826
```

- Energy of formation: 0.3620 eV per atom
- Crystal system: monoclinic
- Energy above the lowest structure with this stoichiometry: 0.65 eV/f.u.

---

No. 2
The following is a GGA-PBE calculation of a relaxed structure of PrHf2TiO8, from Alexandria via LeMat-Bulk.

Cell and atoms, written as POSCAR:
```
PrHf2TiO8
1.0
4.9327 0.0000 0.0000
0.0000 6.6376 0.0000
-0.1923 0.0000 4.9295
Pr Hf Ti O
1 2 1 8
direct
0.0000 0.0000 0.0000
0.5000 0.2545 0.5000
0.5000 0.7455 0.5000
0.0000 0.5000 0.0000
0.2012 0.2917 0.1999
0.2012 0.7083 0.1999
0.2972 0.5000 0.7018
0.3257 0.0000 0.6724
0.6743 0.0000 0.3276
0.7028 0.5000 0.2982
0.7988 0.2917 0.8001
0.7988 0.7083 0.8001
```

- Crystal system: monoclinic

---

No. 3
The following is a GGA-PBE calculation of a relaxed structure of NiP2RhS, from Alexandria via LeMat-Bulk.

Cell and atoms, written as POSCAR:
```
NiP2RhS
1.0
4.3001 -1.6845 0.0000
4.3001 1.6845 0.0000
-1.4376 0.0000 5.2237
Ni P Rh S
1 2 1 1
direct
0.0000 0.0000 0.0000
0.4133 0.4133 0.2050
0.5489 0.5489 0.7072
0.2499 0.2499 0.7616
0.2082 0.2082 0.3245
```

- Crystal system: monoclinic
- Energy above the lowest structure with this stoichiometry: 0.56 eV/f.u.

---

No. 4
The following is a GGA-PBE calculation of a relaxed structure of YSb2, from Alexandria via LeMat-Bulk.

Cell and atoms, written as POSCAR:
```
YSb2
1.0
5.4299 -2.5336 0.0000
5.4299 2.5336 0.0000
-1.6594 0.0000 5.9736
Y Sb
2 4
direct
0.1218 0.1218 0.2912
0.8782 0.8782 0.7088
0.2039 0.2039 0.8275
0.5000 0.5000 0.0000
0.5000 0.5000 0.5000
0.7961 0.7961 0.1725
```

- Crystal system: monoclinic

---

no.,size of the total moment (μB/cell),E (eV per cell)
1,0.42,-17.307
2,0.96,-109.261
3,0.00,-29.305
4,0.00,-33.106